Entry from Alexandria via LeMat-Bulk: crystalline KLiCrO3 at its relaxed geometry (PBE+U).

Uncorrected energy, eV per atom: -5.895
Symmetry: No. 11

Lattice parameters (Å, degrees): 3.130 6.962 7.506 112.12 90.00 90.00
Last column: magnetic moment on the atom in μB.
Element x y z (fractional)
K: 0.250 0.235 0.255  0.00
K: 0.750 0.765 0.745  0.00
Li: 0.250 0.075 0.606  -0.01
Li: 0.750 0.925 0.394  -0.01
Cr: 0.250 0.680 0.145  2.23
Cr: 0.750 0.320 0.855  2.23
O: 0.750 0.853 0.130  -0.07
O: 0.250 0.147 0.870  -0.07
O: 0.250 0.791 0.413  -0.08
O: 0.750 0.209 0.587  -0.08
O: 0.750 0.484 0.131  -0.09
O: 0.250 0.516 0.869  -0.09